Below is a geometry-optimized LiSm12Tl4O3 structure, with properties calculated at the PBE level.

a = 8.7229 Å, b = 8.7229 Å, c = 8.7229 Å
α = 109.47°, β = 109.47°, γ = 109.47°
Element x y z (fractional)
Li 0.0000 0.0000 0.0000
Sm 0.0000 0.2643 0.2643
Sm 0.0000 0.7357 0.7357
Sm 0.2500 0.5000 0.7500
Sm 0.2500 0.7500 0.5000
Sm 0.2643 0.0000 0.2643
Sm 0.2643 0.2643 0.0000
Sm 0.5000 0.2500 0.7500
Sm 0.5000 0.7500 0.2500
Sm 0.7357 0.0000 0.7357
Sm 0.7357 0.7357 0.0000
Sm 0.7500 0.2500 0.5000
Sm 0.7500 0.5000 0.2500
Tl 0.0000 0.0000 0.5000
Tl 0.0000 0.5000 0.0000
Tl 0.5000 0.0000 0.0000
Tl 0.5000 0.5000 0.5000
O 0.0000 0.5000 0.5000
O 0.5000 0.0000 0.5000
O 0.5000 0.5000 0.0000

Properties
total DFT energy (no corrections): -100.7 eV per cell
D(E_F): 15.02 states/eV/cell
uncorrected formation energy: -0.891 eV per atom
SG: Im-3m, No. 229
spin magnetization: 0.00 μB per cell